1.
VASP calculation (PBE-GGA) on an optimized crystal structure of CaOsN2F.

Calculated values
N(E_F)	3.157	states/eV per cell
ΔE_f (raw)	144.1	kJ per mole of atoms
polymorph energy (0 for the lowest one)	2130	meV/atom
calculated total energy	-4.858	eV/atom

a b c (Å): 4.413 4.413 4.005
angles (deg): 90.00 90.00 90.00
Fractional positions:
Ca 0.000 0.000 0.000
F 0.000 0.000 0.500
Os 0.500 0.500 0.500
N 0.500 0.000 0.000
N 0.000 0.500 0.000

2.
VASP calculation (PBE-GGA) on an optimized crystal structure of Pu2Pd3Pb3.

Calculated values
N(E_F)	21.175	states/eV per cell
DFT formation energy	-0.1290	eV/atom
calculated total energy	-7.050	eV/atom

a b c (Å): 3.230 8.231 8.231
angles (deg): 120.00 90.00 90.00
Fractional positions:
Pb 0.000 0.766 0.000
Pb 0.000 0.234 0.234
Pb 0.000 0.000 0.766
Pd 0.500 0.361 0.000
Pd 0.500 0.639 0.639
Pd 0.500 0.000 0.361
Pu 0.000 0.333 0.667
Pu 0.000 0.667 0.333

3.
VASP calculation (PBE-GGA) on an optimized crystal structure of TiRuPbAu2.

Calculated values
N(E_F)	5.366	states/eV per cell
DFT formation energy	0.4459	eV/atom
calculated total energy	-5.041	eV/atom

a b c (Å): 5.206 4.393 5.206
angles (deg): 90.00 90.00 90.00
Fractional positions:
Au 0.500 0.000 0.000
Au 0.000 0.000 0.500
Ti 0.000 0.500 0.000
Pb 0.500 0.500 0.500
Ru 0.000 0.000 0.000

4.
VASP calculation (PBE-GGA) on an optimized crystal structure of Tm2SnBi.

Calculated values
N(E_F)	1.020	states/eV per cell
DFT formation energy	-0.6196	eV/atom
polymorph energy (0 for the lowest one)	84	meV/atom
calculated total energy	-4.826	eV/atom

a b c (Å): 4.245 4.245 8.017
angles (deg): 90.05 105.32 119.95
Fractional positions:
Tm 0.500 0.750 0.250
Tm 0.500 0.250 0.750
Bi 0.000 0.000 0.000
Sn 0.000 0.500 0.500

5.
VASP calculation (PBE-GGA) on an optimized crystal structure of MoPHCl2.

Calculated values
N(E_F)	1.898	states/eV per cell
polymorph energy (0 for the lowest one)	0	meV/atom
calculated total energy	-4.266	eV/atom

a b c (Å): 4.896 4.896 4.646
angles (deg): 90.00 90.00 90.00
Fractional positions:
P 0.000 0.000 0.500
Cl 0.000 0.500 0.000
Cl 0.500 0.000 0.000
Mo 0.000 0.000 0.000
H 0.500 0.500 0.500

6.
VASP calculation (PBE-GGA) on an optimized crystal structure of MgSb2Pt.

Calculated values
N(E_F)	1.629	states/eV per cell
ΔE_f (raw)	-33.1	kJ per mole of atoms
calculated total energy	-4.313	eV/atom

a b c (Å): 4.080 3.088 8.080
angles (deg): 66.30 90.00 90.00
Fractional positions:
Sb 0.000 0.682 0.941
Sb 0.500 0.318 0.312
Pt 0.500 0.929 0.691
Mg 0.000 0.571 0.556

7.
VASP calculation (PBE-GGA) on an optimized crystal structure of NdInAgPb.

Calculated values
N(E_F)	2.288	states/eV per cell
DFT formation energy	-0.3492	eV/atom
polymorph energy (0 for the lowest one)	0	meV/atom
calculated total energy	-3.866	eV/atom

a b c (Å): 4.610 4.611 4.855
angles (deg): 90.00 90.00 90.00
Fractional positions:
Nd 0.000 0.000 0.000
Pb 0.500 0.500 0.000
In 0.500 0.000 0.500
Ag 0.000 0.500 0.500

8.
VASP calculation (PBE-GGA) on an optimized crystal structure of BaCa2Tl2Ag2.

Calculated values
N(E_F)	8.314	states/eV per cell
DFT formation energy	-0.2565	eV/atom
calculated total energy	-2.594	eV/atom

a b c (Å): 5.025 5.025 10.649
angles (deg): 76.35 76.35 60.00
Fractional positions:
Tl 0.748 0.748 0.756
Tl 0.252 0.252 0.244
Ag 0.587 0.587 0.238
Ag 0.413 0.413 0.762
Ba 0.000 0.000 0.000
Ca 0.128 0.128 0.615
Ca 0.872 0.872 0.385

Listing calculated volume for the structures above in their given order: 15.60, 23.69, 23.81, 29.80, 22.27, 23.31, 25.80, 32.01 Å³ per atom.